(1)
A relaxed Tm2ScAs3 crystal. Source: Alexandria, functional GGA-PBE.

For the formation enthalpy at 0 K, the calculation gives -1.447 eV per atom. The calculation puts the final energy at -6.3173 eV per atom. The density of states at the Fermi level is 1.6 states/eV/cell.

The structure belongs to space group I4/mmm (No. 139); the cell edges are 4.010, 4.010 and 16.976 Å and the angles 90.00°, 90.00° and 90.00°. The distinct sites, in fractional coordinates, are Tm at (0.000, 0.000, 0.166), Sc at (0.000, 0.000, 0.500), As at (0.000, 0.000, 0.000) and As at (0.000, 0.000, 0.336).

---

(2)
A relaxed Tb6Bi3SbAs2 crystal. Source: Alexandria, functional GGA-PBE.

The calculation puts the final energy at -5.5253 eV per atom. The density of states at the Fermi level is 4.0 states/eV/cell. The formation energy (no corrections) comes out at -1.1215 eV/atom.

The structure belongs to space group C2/m (No. 12); the cell edges are 19.033, 4.337 and 8.759 Å and the angles 90.00°, 103.80° and 90.00°. The distinct sites, in fractional coordinates, are Tb at (0.008, 0.000, 0.251), Tb at (0.168, 0.500, 0.100), Tb at (0.172, 0.500, 0.571), Bi at (0.000, 0.500, 0.500), Bi at (0.164, 0.000, 0.832), Sb at (0.000, 0.500, 0.000) and As at (0.168, 0.000, 0.335).

---

(3)
A relaxed AcRe3Si2 crystal. Source: Alexandria, functional GGA-PBE.

The calculation puts the final energy at -9.0055 eV per atom. The density of states at the Fermi level is 15.7 states/eV/cell. The formation energy (no corrections) comes out at -0.2891 eV/atom.

The structure belongs to space group C2/m (No. 12); the cell edges are 15.594, 4.189 and 7.787 Å and the angles 90.00°, 116.18° and 90.00°. The distinct sites, in fractional coordinates, are Ac at (0.145, 0.000, 0.057), Re at (0.047, 0.000, 0.399), Re at (0.085, 0.500, 0.641), Re at (0.200, 0.500, 0.470), Si at (0.024, 0.500, 0.196) and Si at (0.192, 0.000, 0.699).

---

(4)
A relaxed Cs5Te3 crystal. Source: Alexandria, functional GGA-PBE.

The calculation puts the final energy at -2.6915 eV per atom. The formation energy (no corrections) comes out at -0.9799 eV/atom.

The structure belongs to space group I4/m (No. 87); the cell edges are 15.066, 15.066 and 7.155 Å and the angles 90.00°, 90.00° and 90.00°. The distinct sites, in fractional coordinates, are Cs at (0.000, 0.500, 0.250), Cs at (0.088, 0.784, 0.000), Cs at (0.092, 0.225, 0.500), Te at (0.000, 0.000, 0.303) and Te at (0.154, 0.343, 0.000).

---

The highest final energy belongs to which entry? Cs5Te3

---

Which value of final energy does entry 2 give? -5.5253 eV per atom

---

The highest final energy belongs to which entry? Cs5Te3

---

The lowest final energy belongs to which entry? AcRe3Si2